(1)
The following is a PBE-GGA calculation of an optimized crystal structure of TlSi2As, from Alexandria.

Values from the calculation:
As for the space group: P4mm (99). The calculation puts the total energy at -4.117 eV per atom. The value obtained for the density of states at the Fermi level is 1.61 states/eV/cell.

Geometry as POSCAR:
```
TlSi2As
1.0
3.425 0.000 0.000
0.000 3.425 0.000
0.000 0.000 7.266
Tl Si As
1 2 1
Direct
0.000 0.000 0.000
0.000 0.000 0.523
0.500 0.500 0.675
0.500 0.500 0.337
```


(2)
The following is a PBE-GGA calculation of an optimized crystal structure of TbCe2ErSb4, from Alexandria.

Values from the calculation:
As for the space group: P2/m (10). The calculation puts the total energy at -5.774 eV per atom. The value obtained for the density of states at the Fermi level is 13.97 states/eV/cell.

Geometry as POSCAR:
```
TbCe2ErSb4
1.0
7.671 0.000 0.000
0.000 4.441 0.000
-2.569 0.000 7.258
Tb Ce Er Sb
1 2 1 4
Direct
0.000 0.000 0.000
0.500 0.000 0.500
0.500 0.500 0.000
0.000 0.500 0.500
0.243 0.000 0.746
0.244 0.500 0.249
0.756 0.500 0.751
0.757 0.000 0.254
```


(3)
The following is a PBE-GGA calculation of an optimized crystal structure of FeAg2Mo, from Alexandria.

Values from the calculation:
As for the space group: C2/m (12). For the calculated formation energy, the calculation gives 51 kJ per mole of atoms. The value obtained for the density of states at the Fermi level is 4.28 states/eV/cell.

Geometry as POSCAR:
```
FeAg2Mo
1.0
4.868 -1.350 0.000
4.868 1.350 0.000
-0.719 0.000 4.806
Fe Ag Mo
1 2 1
Direct
0.000 0.000 0.000
0.253 0.253 0.753
0.747 0.747 0.247
0.500 0.500 0.500
```


(4)
The following is a PBE-GGA calculation of an optimized crystal structure of Ac3SnAu2, from Alexandria.

Values from the calculation:
As for the space group: Cmmm (65). For the calculated formation energy, the calculation gives -54 kJ per mole of atoms. The value obtained for the density of states at the Fermi level is 4.83 states/eV/cell.

Geometry as POSCAR:
```
Ac3SnAu2
1.0
2.218 -8.896 0.000
2.218 8.896 0.000
0.000 0.000 4.915
Ac Sn Au
3 1 2
Direct
0.000 0.000 0.000
0.163 0.837 0.500
0.837 0.163 0.500
0.500 0.500 0.500
0.353 0.647 0.000
0.647 0.353 0.000
```


(5)
The following is a PBE-GGA calculation of an optimized crystal structure of Ca2MgSb3Pd4, from Alexandria.

Values from the calculation:
As for the space group: P-4m2 (115). The calculation puts the total energy at -4.635 eV per atom. The value obtained for the density of states at the Fermi level is 3.67 states/eV/cell.

Geometry as POSCAR:
```
Ca2MgSb3Pd4
1.0
4.493 0.000 0.000
0.000 4.493 0.000
0.000 0.000 11.039
Ca Mg Sb Pd
2 1 3 4
Direct
0.000 0.500 0.235
0.500 0.000 0.765
0.000 0.000 0.500
0.000 0.500 0.867
0.500 0.000 0.133
0.500 0.500 0.500
0.000 0.000 0.000
0.000 0.500 0.633
0.500 0.000 0.367
0.500 0.500 0.000
```


(6)
The following is a PBE-GGA calculation of an optimized crystal structure of LaBe3H, from Alexandria.

Values from the calculation:
As for the space group: Pm-3m (221). The calculation puts the total energy at -1.531 eV per atom. The value obtained for the density of states at the Fermi level is 5.57 states/eV/cell.

Geometry as POSCAR:
```
LaBe3H
1.0
5.707 0.000 0.000
0.000 5.707 0.000
0.000 0.000 5.707
La Be H
1 3 1
Direct
0.000 0.000 0.000
0.000 0.000 0.500
0.000 0.500 0.000
0.500 0.000 0.000
0.500 0.500 0.500
```


(7)
The following is a PBE-GGA calculation of an optimized crystal structure of Tb7Tl2Zn2, from Alexandria.

Values from the calculation:
As for the space group: Cmmm (65). For the calculated formation energy, the calculation gives -1 kJ per mole of atoms. The value obtained for the density of states at the Fermi level is 12.68 states/eV/cell.

Geometry as POSCAR:
```
Tb7Tl2Zn2
1.0
3.851 -5.572 0.000
3.851 5.572 0.000
0.000 0.000 7.640
Tb Tl Zn
7 2 2
Direct
0.000 0.000 0.000
0.000 0.500 0.275
0.000 0.500 0.725
0.500 0.000 0.275
0.500 0.000 0.725
0.500 0.500 0.232
0.500 0.500 0.768
0.190 0.190 0.500
0.810 0.810 0.500
0.285 0.715 0.000
0.715 0.285 0.000
```


(8)
The following is a PBE-GGA calculation of an optimized crystal structure of ScBe2F8, from Alexandria.

Values from the calculation:
As for the space group: C2/m (12). The calculation puts the total energy at -5.637 eV per atom. The value obtained for the density of states at the Fermi level is 10.18 states/eV/cell.

Geometry as POSCAR:
```
ScBe2F8
1.0
5.115 -2.811 0.000
5.115 2.811 0.000
-1.020 0.000 4.911
Sc Be F
1 2 8
Direct
0.000 0.000 0.000
0.185 0.185 0.669
0.815 0.815 0.331
0.096 0.675 0.200
0.141 0.141 0.353
0.325 0.904 0.800
0.337 0.337 0.748
0.663 0.663 0.252
0.675 0.096 0.200
0.859 0.859 0.647
0.904 0.325 0.800
```